First-principles (PBE) data for BaLi2SbBr8 after structural relaxation, as listed in Alexandria via LeMat-Bulk.

Cell: 6.844 6.844 9.248 Å, 90.00 90.00 120.00°
Fractional coordinates of all 12 atoms:
Br 0.295 0.325 0.315
Br 0.333 0.667 0.999
Br 0.667 0.333 0.001
Br 0.970 0.295 0.685
Br 0.030 0.705 0.315
Br 0.705 0.675 0.685
Br 0.675 0.970 0.315
Br 0.325 0.030 0.685
Sb 0.000 0.000 0.500
Ba 0.000 0.000 0.000
Li 0.667 0.333 0.265
Li 0.333 0.667 0.735

Summary:
- Formation energy without anion corrections: -112.1 kJ per mole of atoms
- M_tot: 0.00 μB/f.u.
- E: -37.20 eV per cell